No. 1
Sr3MoF: optimized geometry, GGA+U.

```
data_Sr3MoF
_space_group_name_H-M_alt 'P m -3 m'
_space_group_IT_number 221
_space_group_name_Hall '-P 4 2 3'
_cell_length_a 5.465
_cell_length_b 5.465
_cell_length_c 5.465
_cell_angle_alpha 90.00
_cell_angle_beta 90.00
_cell_angle_gamma 90.00
loop_
_atom_site_label
_atom_site_fract_x
_atom_site_fract_y
_atom_site_fract_z
Sr1 0.000 0.000 0.500
Mo1 0.500 0.500 0.500
F1 0.000 0.000 0.000
```

Properties
Energy relative to the lowest polymorph listed for this composition   0.00 eV/f.u.
E   -3.45 eV/atom
V   163.2 Å³/cell


No. 2
SrMoF5: optimized geometry, GGA+U.

```
data_SrMoF5
_space_group_name_H-M_alt 'C 1 2/c 1'
_space_group_IT_number 15
_cell_length_a 7.963
_cell_length_b 9.333
_cell_length_c 8.071
_cell_angle_alpha 90.00
_cell_angle_beta 117.12
_cell_angle_gamma 90.00
loop_
_space_group_symop_operation_xyz
'x,y,z'
'-x,-y,-z'
'-x,y,-z+1/2'
'x,-y,z+1/2'
'x+1/2,y+1/2,z'
'-x+1/2,-y+1/2,-z'
'-x+1/2,y+1/2,-z+1/2'
'x+1/2,-y+1/2,z+1/2'
loop_
_atom_site_label
_atom_site_fract_x
_atom_site_fract_y
_atom_site_fract_z
Sr1 0.000 0.085 0.250
Mo1 0.250 0.250 0.000
F1 0.000 0.205 0.750
F2 0.087 0.294 0.132
F3 0.196 0.038 0.052
```

Properties
E   -5.67 eV/atom
V   533.8 Å³/cell


No. 3
SrMo2F: optimized geometry, GGA+U.

```
data_SrMo2F
_space_group_name_H-M_alt 'F m -3 m'
_space_group_IT_number 225
_space_group_name_Hall '-F 4 2 3'
_cell_length_a 7.781
_cell_length_b 7.781
_cell_length_c 7.781
_cell_angle_alpha 90.00
_cell_angle_beta 90.00
_cell_angle_gamma 90.00
loop_
_atom_site_label
_atom_site_fract_x
_atom_site_fract_y
_atom_site_fract_z
Sr1 0.000 0.000 0.000
Mo1 0.250 0.250 0.250
F1 0.000 0.000 0.500
```

Properties
Energy relative to the lowest polymorph listed for this composition   1.54 eV/f.u.
E   -3.64 eV/atom
V   471.1 Å³/cell


No. 4
SrMoF6: optimized geometry, GGA+U.

```
data_SrMoF6
_space_group_name_H-M_alt 'P 3 1 2'
_space_group_IT_number 149
_cell_length_a 5.5181
_cell_length_b 5.5181
_cell_length_c 5.4061
_cell_angle_alpha 90.00
_cell_angle_beta 90.00
_cell_angle_gamma 120.00
loop_
_space_group_symop_operation_xyz
'x,y,z'
'-y,x-y,z'
'-x+y,-x,z'
'-y,-x,-z'
'-x+y,y,-z'
'x,x-y,-z'
loop_
_atom_site_label
_atom_site_fract_x
_atom_site_fract_y
_atom_site_fract_z
Sr1 0.0000 0.0000 0.0000
Mo1 0.6667 0.3333 0.5000
F1 0.3746 0.0481 0.7248
```

Properties
E   -5.59 eV/atom
V   142.6 Å³/cell


No. 5
SrTl2MoF: optimized geometry, GGA+U.

```
data_SrTl2MoF
_space_group_name_H-M_alt 'P 4/m m m'
_space_group_IT_number 123
_space_group_name_Hall '-P 4 2'
_cell_length_a 5.956
_cell_length_b 5.956
_cell_length_c 4.195
_cell_angle_alpha 90.00
_cell_angle_beta 90.00
_cell_angle_gamma 90.00
loop_
_atom_site_label
_atom_site_fract_x
_atom_site_fract_y
_atom_site_fract_z
Sr1 0.000 0.000 0.000
Tl1 0.000 0.500 0.500
Mo1 0.500 0.500 0.500
F1 0.500 0.500 0.000
```

Properties
E   -3.46 eV/atom
V   148.8 Å³/cell


No. 6
SrTl2Mo3F12: optimized geometry, GGA+U.

```
data_SrTl2Mo3F12
_space_group_name_H-M_alt 'R -3 m'
_space_group_IT_number 166
_space_group_name_Hall '-R 3 2"'
_cell_length_a 7.7425
_cell_length_b 7.7425
_cell_length_c 18.8448
_cell_angle_alpha 90.00
_cell_angle_beta 90.00
_cell_angle_gamma 120.00
loop_
_atom_site_label
_atom_site_fract_x
_atom_site_fract_y
_atom_site_fract_z
Sr1 0.0000 0.0000 0.0000
Tl1 0.0000 0.0000 0.3664
Mo1 0.0000 0.5000 0.5000
F1 0.0107 0.5054 0.3878
F2 0.0526 0.5263 0.8091
```

Properties
E   -5.26 eV/atom
V   978.3 Å³/cell


No. 7
SrTlMoF6: optimized geometry, GGA+U.

```
data_SrTlMoF6
_space_group_name_H-M_alt 'P -3 1 c'
_space_group_IT_number 163
_space_group_name_Hall '-P 3 2c'
_cell_length_a 6.2894
_cell_length_b 6.2894
_cell_length_c 10.6769
_cell_angle_alpha 90.00
_cell_angle_beta 90.00
_cell_angle_gamma 120.00
loop_
_atom_site_label
_atom_site_fract_x
_atom_site_fract_y
_atom_site_fract_z
Sr1 0.3333 0.6667 0.2500
Tl1 0.0000 0.0000 0.0000
Mo1 0.3333 0.6667 0.7500
F1 0.0396 0.3907 0.6454
```

Properties
E   -5.34 eV/atom
V   365.8 Å³/cell


No. 8
TaMoF3: optimized geometry, GGA+U.

```
data_TaMoF3
_space_group_name_H-M_alt 'P m -3 m'
_space_group_IT_number 221
_space_group_name_Hall '-P 4 2 3'
_cell_length_a 4.408
_cell_length_b 4.408
_cell_length_c 4.408
_cell_angle_alpha 90.00
_cell_angle_beta 90.00
_cell_angle_gamma 90.00
loop_
_atom_site_label
_atom_site_fract_x
_atom_site_fract_y
_atom_site_fract_z
Ta1 0.000 0.000 0.000
Mo1 0.500 0.500 0.500
F1 0.000 0.500 0.500
```

Properties
Energy relative to the lowest polymorph listed for this composition   2.86 eV/f.u.
E   -5.32 eV/atom
V   85.6 Å³/cell


No. 9
TaMo2F: optimized geometry, GGA+U.

```
data_TaMo2F
_space_group_name_H-M_alt 'I -4 2 d'
_space_group_IT_number 122
_space_group_name_Hall 'I -4 2bw'
_cell_length_a 6.784
_cell_length_b 6.784
_cell_length_c 5.485
_cell_angle_alpha 90.00
_cell_angle_beta 90.00
_cell_angle_gamma 90.00
loop_
_atom_site_label
_atom_site_fract_x
_atom_site_fract_y
_atom_site_fract_z
Ta1 0.000 0.000 0.000
Mo1 0.198 0.750 0.625
F1 0.000 0.000 0.500
```

Properties
Energy relative to the lowest polymorph listed for this composition   0.00 eV/f.u.
E   -6.10 eV/atom
V   252.4 Å³/cell


No. 10
Ta2MoF: optimized geometry, GGA+U.

```
data_Ta2MoF
_space_group_name_H-M_alt 'F m -3 m'
_space_group_IT_number 225
_space_group_name_Hall '-F 4 2 3'
_cell_length_a 6.384
_cell_length_b 6.384
_cell_length_c 6.384
_cell_angle_alpha 90.00
_cell_angle_beta 90.00
_cell_angle_gamma 90.00
loop_
_atom_site_label
_atom_site_fract_x
_atom_site_fract_y
_atom_site_fract_z
Ta1 0.250 0.250 0.250
Mo1 0.000 0.000 0.000
F1 0.000 0.000 0.500
```

Properties
Energy relative to the lowest polymorph listed for this composition   0.61 eV/f.u.
E   -7.71 eV/atom
V   260.2 Å³/cell


No. 11
Ta2MoF: optimized geometry, GGA+U.

```
data_Ta2MoF
_space_group_name_H-M_alt 'I -4 2 d'
_space_group_IT_number 122
_space_group_name_Hall 'I -4 2bw'
_cell_length_a 6.662
_cell_length_b 6.662
_cell_length_c 5.858
_cell_angle_alpha 90.00
_cell_angle_beta 90.00
_cell_angle_gamma 90.00
loop_
_atom_site_label
_atom_site_fract_x
_atom_site_fract_y
_atom_site_fract_z
Ta1 0.190 0.750 0.125
Mo1 0.000 0.000 0.500
F1 0.000 0.000 0.000
```

Properties
Energy relative to the lowest polymorph listed for this composition   0.00 eV/f.u.
E   -7.86 eV/atom
V   260.0 Å³/cell


No. 12
TaMoF3: optimized geometry, GGA+U.

```
data_TaMoF3
_space_group_name_H-M_alt 'P m -3 m'
_space_group_IT_number 221
_space_group_name_Hall '-P 4 2 3'
_cell_length_a 4.291
_cell_length_b 4.291
_cell_length_c 4.291
_cell_angle_alpha 90.00
_cell_angle_beta 90.00
_cell_angle_gamma 90.00
loop_
_atom_site_label
_atom_site_fract_x
_atom_site_fract_y
_atom_site_fract_z
Ta1 0.000 0.000 0.000
Mo1 0.500 0.500 0.500
F1 0.000 0.000 0.500
```

Properties
Energy relative to the lowest polymorph listed for this composition   0.00 eV/f.u.
E   -5.89 eV/atom
V   79.0 Å³/cell


No. 13
TaMo2F: optimized geometry, GGA+U.

```
data_TaMo2F
_space_group_name_H-M_alt 'F m -3 m'
_space_group_IT_number 225
_space_group_name_Hall '-F 4 2 3'
_cell_length_a 6.500
_cell_length_b 6.500
_cell_length_c 6.500
_cell_angle_alpha 90.00
_cell_angle_beta 90.00
_cell_angle_gamma 90.00
loop_
_atom_site_label
_atom_site_fract_x
_atom_site_fract_y
_atom_site_fract_z
Ta1 0.000 0.000 0.000
Mo1 0.250 0.250 0.250
F1 0.000 0.000 0.500
```

Properties
Energy relative to the lowest polymorph listed for this composition   0.17 eV/f.u.
E   -6.05 eV/atom
V   274.6 Å³/cell


No. 14
TaTeMoF2: optimized geometry, GGA+U.

```
data_TaTeMoF2
_space_group_name_H-M_alt 'P 4/m m m'
_space_group_IT_number 123
_space_group_name_Hall '-P 4 2'
_cell_length_a 4.109
_cell_length_b 4.109
_cell_length_c 5.957
_cell_angle_alpha 90.00
_cell_angle_beta 90.00
_cell_angle_gamma 90.00
loop_
_atom_site_label
_atom_site_fract_x
_atom_site_fract_y
_atom_site_fract_z
Ta1 0.000 0.000 0.000
Te1 0.500 0.500 0.000
Mo1 0.000 0.000 0.500
F1 0.000 0.500 0.500
```

Properties
E   -5.95 eV/atom
V   100.6 Å³/cell


No. 15
TaTe2MoF: optimized geometry, GGA+U.

```
data_TaTe2MoF
_space_group_name_H-M_alt 'P 4/m m m'
_space_group_IT_number 123
_space_group_name_Hall '-P 4 2'
_cell_length_a 5.467
_cell_length_b 5.467
_cell_length_c 3.890
_cell_angle_alpha 90.00
_cell_angle_beta 90.00
_cell_angle_gamma 90.00
loop_
_atom_site_label
_atom_site_fract_x
_atom_site_fract_y
_atom_site_fract_z
Ta1 0.000 0.000 0.000
Te1 0.000 0.500 0.500
Mo1 0.500 0.500 0.000
F1 0.000 0.000 0.500
```

Properties
E   -5.17 eV/atom
V   116.3 Å³/cell


No. 16
TaMoWF2: optimized geometry, GGA+U.

```
data_TaMoWF2
_space_group_name_H-M_alt 'P 4/m m m'
_space_group_IT_number 123
_space_group_name_Hall '-P 4 2'
_cell_length_a 4.050
_cell_length_b 4.050
_cell_length_c 5.850
_cell_angle_alpha 90.00
_cell_angle_beta 90.00
_cell_angle_gamma 90.00
loop_
_atom_site_label
_atom_site_fract_x
_atom_site_fract_y
_atom_site_fract_z
Ta1 0.000 0.000 0.000
Mo1 0.500 0.500 0.500
W1 0.000 0.000 0.500
F1 0.000 0.500 0.000
```

Properties
E   -6.15 eV/atom
V   96.0 Å³/cell


No. 17
TbMoF6: optimized geometry, GGA+U.

```
data_TbMoF6
_space_group_name_H-M_alt 'C 1 2 1'
_space_group_IT_number 5
_cell_length_a 5.327
_cell_length_b 9.135
_cell_length_c 5.911
_cell_angle_alpha 90.00
_cell_angle_beta 110.44
_cell_angle_gamma 90.00
loop_
_space_group_symop_operation_xyz
'x,y,z'
'-x,y,-z'
'x+1/2,y+1/2,z'
'-x+1/2,y+1/2,-z'
loop_
_atom_site_label
_atom_site_fract_x
_atom_site_fract_y
_atom_site_fract_z
Tb1 0.000 0.000 0.000
Mo1 0.000 0.806 0.500
F1 0.211 0.821 0.257
F2 0.224 0.964 0.750
F3 0.237 0.652 0.743
```

Properties
E   -6.15 eV/atom
V   269.5 Å³/cell


No. 18
TbMo2F11: optimized geometry, GGA+U.

```
data_TbMo2F11
_space_group_name_H-M_alt 'I b a m'
_space_group_IT_number 72
_space_group_name_Hall '-I 2 2c'
_cell_length_a 7.711
_cell_length_b 9.859
_cell_length_c 10.741
_cell_angle_alpha 90.00
_cell_angle_beta 90.00
_cell_angle_gamma 90.00
loop_
_atom_site_label
_atom_site_fract_x
_atom_site_fract_y
_atom_site_fract_z
Tb1 0.000 0.000 0.250
Mo1 0.141 0.319 0.000
F1 0.000 0.500 0.000
F2 0.095 0.184 0.139
F3 0.132 0.285 0.500
F4 0.234 0.071 0.368
```

Properties
E   -5.76 eV/atom
V   816.5 Å³/cell


No. 19
TcMo3F: optimized geometry, GGA+U.

```
data_TcMo3F
_space_group_name_H-M_alt 'P m -3 m'
_space_group_IT_number 221
_space_group_name_Hall '-P 4 2 3'
_cell_length_a 4.214
_cell_length_b 4.214
_cell_length_c 4.214
_cell_angle_alpha 90.00
_cell_angle_beta 90.00
_cell_angle_gamma 90.00
loop_
_atom_site_label
_atom_site_fract_x
_atom_site_fract_y
_atom_site_fract_z
Tc1 0.000 0.000 0.000
Mo1 0.000 0.500 0.500
F1 0.500 0.500 0.500
```

Properties
Energy relative to the lowest polymorph listed for this composition   0.00 eV/f.u.
E   -5.41 eV/atom
V   74.9 Å³/cell


No. 20
Tc2Mo2F: optimized geometry, GGA+U.

```
data_Tc2Mo2F
_space_group_name_H-M_alt 'P 4/m b m'
_space_group_IT_number 127
_space_group_name_Hall '-P 4 2ab'
_cell_length_a 7.361
_cell_length_b 7.361
_cell_length_c 3.072
_cell_angle_alpha 90.00
_cell_angle_beta 90.00
_cell_angle_gamma 90.00
loop_
_atom_site_label
_atom_site_fract_x
_atom_site_fract_y
_atom_site_fract_z
Tc1 0.138 0.362 0.000
Mo1 0.155 0.655 0.500
F1 0.000 0.000 0.500
```

Properties
Energy relative to the lowest polymorph listed for this composition   0.00 eV/f.u.
E   -6.63 eV/atom
V   166.5 Å³/cell